(1)
Compound: Rb2BePt
Source: the Alexandria database
Functional: PBE
Structure: relaxed

Calculated values
Its energy is -1.92 eV per atom. The formation energy comes out at 1002 meV per atom.

abc: 4.5071 4.5071 22.4401
angles: 90.00 90.00 90.00
Closest atoms and distances in Å follow each position.
Atoms (fractional coordinates):
Rb1 0.2480 0.2500 0.1250  4 Rb 3.17-3.20, 2 Pt 3.22, 2 Be 3.23
Rb2 0.2500 0.7480 0.3750  4 Rb 3.17-3.20, 2 Pt 3.22, 2 Be 3.23
Rb3 0.2500 0.7520 0.8750  4 Rb 3.17-3.20, 2 Pt 3.22, 2 Be 3.23
Rb4 0.2520 0.2500 0.6250  4 Rb 3.17-3.20, 2 Pt 3.22, 2 Be 3.23
Rb5 0.7480 0.7500 0.6250  4 Rb 3.17-3.20, 2 Pt 3.22, 2 Be 3.23
Rb6 0.7500 0.2480 0.8750  4 Rb 3.17-3.20, 2 Pt 3.22, 2 Be 3.23
Rb7 0.7500 0.2520 0.3750  4 Rb 3.17-3.20, 2 Pt 3.22, 2 Be 3.23
Rb8 0.7520 0.7500 0.1250  4 Rb 3.17-3.20, 2 Pt 3.22, 2 Be 3.23
Be1 0.0000 0.0000 0.5000  4 Pt 3.19, 4 Rb 3.23
Be2 0.0000 0.5000 0.7500  4 Pt 3.19, 4 Rb 3.23
Be3 0.5000 0.0000 0.2500  4 Pt 3.19, 4 Rb 3.23
Be4 0.5000 0.5000 0.0000  4 Pt 3.19, 4 Rb 3.23
Pt1 0.0000 0.0000 0.0000  4 Be 3.19, 4 Rb 3.22
Pt2 0.0000 0.5000 0.2500  4 Be 3.19, 4 Rb 3.22
Pt3 0.5000 0.0000 0.7500  4 Be 3.19, 4 Rb 3.22
Pt4 0.5000 0.5000 0.5000  4 Be 3.19, 4 Rb 3.22

(2)
Compound: RbBe2Pt
Source: the Alexandria database
Functional: PBE
Structure: relaxed

Calculated values
Its energy is -3.51 eV per atom. The formation energy comes out at 102 meV per atom. The energy above the most stable polymorph in this dataset comes out at 0.0000 eV per atom.

abc: 5.3215 5.3215 13.8277
angles: 90.00 90.00 90.00
Closest atoms and distances in Å follow each position.
Atoms (fractional coordinates):
Rb1 0.0000 0.2500 0.3750  8 Be 3.44, 4 Pt 3.76
Rb2 0.0000 0.7500 0.6250  8 Be 3.44, 4 Pt 3.76
Rb3 0.5000 0.2500 0.1250  8 Be 3.44, 4 Pt 3.76
Rb4 0.5000 0.7500 0.8750  8 Be 3.44, 4 Pt 3.76
Be1 0.0000 0.0000 0.0000  2 Pt 2.18
Be2 0.0000 0.5000 0.0000  2 Pt 2.18
Be3 0.2500 0.2500 0.7500  2 Pt 2.18
Be4 0.2500 0.7500 0.2500  2 Pt 2.18
Be5 0.5000 0.0000 0.5000  2 Pt 2.18
Be6 0.5000 0.5000 0.5000  2 Pt 2.18
Be7 0.7500 0.2500 0.7500  2 Pt 2.18
Be8 0.7500 0.7500 0.2500  2 Pt 2.18
Pt1 0.0000 0.2500 0.8750  4 Be 2.18
Pt2 0.0000 0.7500 0.1250  4 Be 2.18
Pt3 0.5000 0.2500 0.6250  4 Be 2.18
Pt4 0.5000 0.7500 0.3750  4 Be 2.18

(3)
Compound: RbTaBePt2
Source: the Alexandria database
Functional: PBE
Structure: relaxed

Calculated values
Its energy is -2.70 eV per atom. The formation energy comes out at 3029 meV per atom.

abc: 4.9616 4.9616 5.0204
angles: 90.00 90.00 90.00
Closest atoms and distances in Å follow each position.
Atoms (fractional coordinates):
Rb1 0.0000 0.0000 0.0000  4 Pt 2.48, 2 Ta 2.51
Ta1 0.0000 0.0000 0.5000  2 Rb 2.51
Be1 0.5000 0.5000 0.5000  4 Ta 3.51, 8 Pt 3.53
Pt1 0.0000 0.5000 0.0000  2 Rb 2.48
Pt2 0.5000 0.0000 0.0000  2 Rb 2.48

(4)
Compound: RbBe2TcPt
Source: the Alexandria database
Functional: PBE
Structure: relaxed

Calculated values
Its energy is -4.18 eV per atom. The formation energy comes out at 784 meV per atom.

abc: 4.6477 4.6477 4.8474
angles: 90.00 90.00 90.00
Closest atoms and distances in Å follow each position.
Atoms (fractional coordinates):
Rb1 0.0000 0.0000 0.0000  4 Pt 3.29, 8 Be 3.36
Be1 0.0000 0.5000 0.5000  2 Tc 2.32
Be2 0.5000 0.0000 0.5000  2 Tc 2.32
Tc1 0.5000 0.5000 0.5000  4 Be 2.32, 2 Pt 2.42
Pt1 0.5000 0.5000 0.0000  2 Tc 2.42

(5)
Compound: BeRe2Pt
Source: the Alexandria database
Functional: PBE
Structure: relaxed

Calculated values
Its energy is -8.60 eV per atom. The formation energy comes out at 65 meV per atom.

abc: 3.8418 3.8418 7.5510
angles: 90.00 90.00 90.00
Closest atoms and distances in Å follow each position.
Atoms (fractional coordinates):
Be1 0.0000 0.0000 0.0000  8 Re 2.69-2.72, 4 Pt 2.69
Be2 0.5000 0.5000 0.5000  8 Re 2.69-2.72, 4 Pt 2.69
Re1 0.0000 0.0000 0.5000  4 Re 2.69, 4 Pt 2.69, 4 Be 2.72
Re2 0.0000 0.5000 0.2500  4 Re 2.69, 4 Be 2.69, 4 Pt 2.72
Re3 0.5000 0.0000 0.7500  4 Re 2.69, 4 Be 2.69, 4 Pt 2.72
Re4 0.5000 0.5000 0.0000  4 Re 2.69, 4 Pt 2.69, 4 Be 2.72
Pt1 0.0000 0.5000 0.7500  8 Re 2.69-2.72, 4 Be 2.69
Pt2 0.5000 0.0000 0.2500  8 Re 2.69-2.72, 4 Be 2.69

(6)
Compound: BeRe2Pt
Source: the Alexandria database
Functional: PBE
Structure: relaxed

Calculated values
Its energy is -8.31 eV per atom. The formation energy comes out at 354 meV per atom.

abc: 4.6173 4.6173 2.6595
angles: 90.00 90.00 90.00
Closest atoms and distances in Å follow each position.
Atoms (fractional coordinates):
Be1 0.0000 0.0000 0.0000  2 Be 2.66, 8 Re 2.66
Re1 0.0000 0.5000 0.5000  2 Re 2.66, 4 Be 2.66, 4 Pt 2.66
Re2 0.5000 0.0000 0.5000  2 Re 2.66, 4 Be 2.66, 4 Pt 2.66
Pt1 0.5000 0.5000 0.0000  2 Pt 2.66, 8 Re 2.66